Run a
# ScAlTe3

A relaxed structure of ScAlTe3 (GGA-PBE, the Alexandria database).

Structure (POSCAR):
```
ScAlTe3
1.0
-6.462 1.358 -2.959
-2.838 -6.731 3.108
-3.100 5.624 9.351
Sc Al Te
4 4 12
Cartesian
-3.231 0.679 -1.480
-2.969 -0.554 6.229
-1.419 -3.366 1.554
-4.781 3.491 3.196
-5.156 -0.034 1.751
-3.066 3.070 7.458
-7.244 0.284 7.748
-9.334 -2.820 2.041
-8.866 5.223 6.876
-4.480 0.795 4.113
-3.292 -1.360 0.531
-4.722 -2.818 6.206
-3.534 -4.973 2.623
-7.921 -0.544 5.386
-9.108 1.611 8.968
-7.678 3.069 3.294
-7.672 -4.359 3.519
-4.660 0.932 8.216
-4.728 4.610 5.981
-7.740 -0.681 1.284
```

***

Run b
# ScAlTe3

A relaxed structure of ScAlTe3 (GGA-PBE, the Alexandria database).

Structure (POSCAR):
```
ScAlTe3
1.0
4.172 0.000 0.000
0.000 6.677 -1.918
0.000 0.063 12.804
Sc Al Te
2 2 6
Cartesian
1.043 0.446 8.222
3.129 2.755 3.681
1.043 5.231 1.884
3.129 3.497 8.431
3.129 6.070 8.004
3.129 3.870 0.933
3.129 1.683 6.485
1.043 2.849 9.960
1.043 0.961 2.799
1.043 4.726 4.497
```

***

Run c
# ScAlTe3

A relaxed structure of ScAlTe3 (GGA-PBE, the Alexandria database).

Structure (POSCAR):
```
ScAlTe3
1.0
5.585 0.000 0.000
0.000 5.585 0.000
0.000 0.000 5.585
Sc Te Al
1 3 1
Cartesian
0.000 0.000 0.000
0.000 2.792 0.000
0.000 0.000 2.792
2.792 0.000 0.000
2.792 2.792 2.792
```

***

Run d
# ScAlTe3

A relaxed structure of ScAlTe3 (GGA-PBE, the Alexandria database).

Structure (POSCAR):
```
ScAlTe3
1.0
-1.843 0.835 -4.895
-4.819 -1.561 1.547
-1.199 4.991 1.303
Sc Te Al
1 3 1
Cartesian
-3.930 2.133 -1.022
-2.409 -0.781 0.774
-0.599 2.496 0.652
-0.921 0.418 -2.447
0.000 0.000 0.000
```

***

run b comes first in stability; the runner-up is 0.121 eV/atom higher.

***

Run a
# Sc2Al2Te

A relaxed structure of Sc2Al2Te (GGA-PBE, the Alexandria database).

Structure (POSCAR):
```
Sc2Al2Te
1.0
7.394 0.000 0.000
0.000 7.394 0.000
0.000 0.000 3.968
Sc Te Al
4 2 4
Cartesian
1.271 4.968 1.984
4.968 6.122 1.984
6.122 2.425 1.984
2.425 1.271 1.984
0.000 0.000 0.000
3.697 3.697 0.000
2.797 6.494 0.000
6.494 4.597 0.000
4.597 0.900 0.000
0.900 2.797 0.000
```

***

Run b
# Sc2Al2Te

A relaxed structure of Sc2Al2Te (GGA-PBE, the Alexandria database).

Structure (POSCAR):
```
Sc2Al2Te
1.0
-5.367 5.055 0.036
-3.767 -3.964 -4.945
-1.925 -2.066 3.123
Sc Te Al
4 2 4
Cartesian
-4.988 -1.611 -4.141
-6.994 1.629 -3.234
-4.145 2.702 -0.768
-2.139 -0.538 -1.675
0.000 0.000 0.000
-4.567 0.545 -2.454
-4.040 -2.873 -1.553
-7.622 -1.291 -2.714
-7.019 1.897 -0.233
-3.437 0.315 0.928
```

***

Run c
# Sc2Al2Te

A relaxed structure of Sc2Al2Te (GGA-PBE, the Alexandria database).

Structure (POSCAR):
```
Sc2Al2Te
1.0
-1.340 3.180 -3.027
1.738 -2.523 -3.419
-4.952 -2.411 -3.821
Sc Te Al
2 1 2
Cartesian
-3.046 0.549 -5.035
-1.507 -2.302 -5.231
0.000 0.000 0.000
-0.873 -0.241 -3.347
-3.681 -1.512 -6.919
```

***

run b comes first in stability; the runner-up is 0.045 eV/atom higher.

***

Run a
# ThScAl

A relaxed structure of ThScAl (GGA-PBE, the Alexandria database).

Structure (POSCAR):
```
ThScAl
1.0
-0.098 -4.092 3.060
0.099 -0.606 -5.074
6.536 -0.056 0.135
Th Sc Al
2 2 2
Cartesian
0.050 -0.303 -2.537
3.318 -0.331 -2.469
4.920 -3.274 -2.088
1.618 -1.479 0.209
4.886 -1.506 0.275
1.652 -3.247 -2.153
```

***

Run b
# ThScAl

A relaxed structure of ThScAl (GGA-PBE, the Alexandria database).

Structure (POSCAR):
```
ThScAl
1.0
-3.689 -2.440 0.500
1.699 -2.674 -0.514
2.710 -2.087 9.803
Al Sc Th
2 2 2
Cartesian
1.419 -2.549 7.933
-0.699 -4.653 1.856
0.096 -2.015 0.779
0.625 -5.187 9.010
0.075 -4.966 6.042
0.645 -2.237 3.747
```

***

Run c
# ThScAl

A relaxed structure of ThScAl (GGA-PBE, the Alexandria database).

Structure (POSCAR):
```
ThScAl
1.0
3.118 0.000 0.000
0.000 5.141 0.000
0.000 -2.571 4.452
Sc Al Th
1 1 1
Cartesian
0.511 2.571 1.484
2.083 0.000 2.968
0.524 0.000 0.000
```

***

run a comes first in stability; the runner-up is 0.169 eV/atom higher.

***

Run a
# ThScAl

A relaxed structure of ThScAl (GGA-PBE, the Alexandria database).

Structure (POSCAR):
```
ThScAl
1.0
-0.591 4.829 0.447
-3.696 1.773 2.659
2.889 2.172 7.058
Th Sc Al
2 2 2
Cartesian
-0.520 6.577 8.359
-0.878 2.197 1.804
-2.529 6.590 5.558
1.131 2.184 4.605
0.084 4.382 6.173
-1.482 4.392 3.990
```

***

Run b
# ThScAl

A relaxed structure of ThScAl (GGA-PBE, the Alexandria database).

Structure (POSCAR):
```
ThScAl
1.0
3.366 0.000 0.000
0.000 3.366 0.000
-1.683 -1.683 6.563
Sc Al Th
1 1 1
Cartesian
0.000 0.000 4.099
1.683 1.683 2.326
0.000 0.000 0.138
```

***

run b comes first in stability; the runner-up is 0.055 eV/atom higher.

***

Run a
# ThSc3Al8

A relaxed structure of ThSc3Al8 (GGA-PBE, the Alexandria database).

Structure (POSCAR):
```
ThSc3Al8
1.0
5.432 0.000 0.000
-2.716 4.705 0.000
0.000 0.000 9.008
Th Sc Al
1 3 8
Cartesian
0.000 0.000 5.088
2.716 1.568 3.826
2.716 1.568 0.595
0.000 0.000 8.418
0.000 3.136 4.466
0.000 3.136 0.041
2.716 0.036 6.839
1.389 2.334 6.839
4.043 2.334 6.839
0.000 1.528 2.198
-1.393 3.941 2.198
1.393 3.941 2.198
```

***

Run b
# ThSc3Al8

A relaxed structure of ThSc3Al8 (GGA-PBE, the Alexandria database).

Structure (POSCAR):
```
ThSc3Al8
1.0
5.445 0.000 0.000
2.723 4.716 0.000
2.723 1.572 8.966
Th Sc Al
1 3 8
Cartesian
8.168 4.716 3.371
5.445 3.144 7.832
2.723 1.572 8.929
5.445 3.144 4.569
6.814 2.354 1.607
6.800 5.506 6.221
4.077 2.354 1.607
9.536 5.506 6.221
2.723 1.572 3.949
8.168 4.716 8.385
5.445 4.724 1.607
8.168 3.136 6.221
```

***

run b comes first in stability; the runner-up is 0.010 eV/atom higher.

***

Run a
# ScTiAl3

A relaxed structure of ScTiAl3 (GGA-PBE, the Alexandria database).

Structure (POSCAR):
```
ScTiAl3
1.0
4.940 0.000 0.000
0.000 4.940 0.000
0.000 0.000 4.940
Sc Al Ti
1 3 1
Cartesian
0.000 0.000 0.000
0.000 2.470 0.000
0.000 0.000 2.470
2.470 0.000 0.000
2.470 2.470 2.470
```

***

Run b
# ScTiAl3

A relaxed structure of ScTiAl3 (GGA-PBE, the Alexandria database).

Structure (POSCAR):
```
ScTiAl3
1.0
-0.325 2.483 4.123
-3.885 -2.574 1.244
2.840 -3.237 2.174
Sc Al Ti
1 3 1
Cartesian
-0.685 -1.664 3.770
-1.943 -1.287 0.622
1.420 -1.618 1.087
-0.163 1.242 2.061
0.000 0.000 0.000
```

***

Run c
# ScTiAl3

A relaxed structure of ScTiAl3 (GGA-PBE, the Alexandria database).

Structure (POSCAR):
```
ScTiAl3
1.0
-3.323 3.701 1.665
-1.886 0.353 -4.550
-3.276 -7.024 0.813
Sc Ti Al
2 2 6
Cartesian
-2.385 -1.917 -0.500
-6.100 -1.053 -1.573
-2.720 1.324 -0.110
-5.765 -4.294 -1.963
-3.363 -4.643 -0.306
-4.937 -2.889 0.483
-3.548 -0.080 -2.555
-5.122 1.673 -1.767
0.000 0.000 0.000
-0.943 0.176 -2.275
```

***

run c comes first in stability; the runner-up is 0.647 eV/atom higher.